(1)
Here is crystalline AcCeAu3 at its relaxed geometry from Alexandria. Energies are from PBE.

The calculation puts the total energy at -4.73 eV per atom. The mass density comes out at 12.0 Mg/m³. The value obtained for the volume is 133 Å³/f.u.

The space group is Cmcm (No. 63) and the conventional cell measures 3.9239, 28.7604 and 4.7107 Å, with angles of 90.00, 90.00 and 90.00 degrees. Symmetry generates all atoms from Ac at (0.0000, 0.0739, 0.2500), Ce at (0.0000, 0.2054, 0.7500), Au at (0.0000, 0.3141, 0.7500), Au at (0.0000, 0.3766, 0.2500) and Au at (0.0000, 0.4743, 0.2500).


(2)
Here is crystalline TaNiW2 at its relaxed geometry from Alexandria. Energies are from PBE.

The calculation puts the total energy at -10.74 eV per atom. The mass density comes out at 16.4 Mg/m³. The value obtained for the volume is 62 Å³/f.u.

The space group is P4/mmm (No. 123) and the conventional cell measures 3.2436, 3.2436 and 5.8599 Å, with angles of 90.00, 90.00 and 90.00 degrees. Symmetry generates all atoms from Ta at (0.0000, 0.0000, 0.0000), Ni at (0.0000, 0.0000, 0.5000) and W at (0.5000, 0.5000, 0.2692).


(3)
Here is crystalline ScPaPt3 at its relaxed geometry from Alexandria. Energies are from PBE.

The calculation puts the total energy at -7.88 eV per atom. The mass density comes out at 14.1 Mg/m³. The value obtained for the volume is 102 Å³/f.u.

The space group is Pmmn (No. 59, origin choice 2) and the conventional cell measures 4.0934, 5.6197 and 8.8300 Å, with angles of 90.00, 90.00 and 90.00 degrees. Symmetry generates all atoms from Sc at (0.2500, 0.2500, 0.0518), Pa at (0.2500, 0.7500, 0.3878), Pt at (0.2500, 0.2500, 0.3813) and Pt at (0.2500, 0.5025, 0.7901).


(4)
Here is crystalline LaNd3S4 at its relaxed geometry from Alexandria. Energies are from PBE.

The mass density comes out at 6.0 Mg/m³. The value obtained for the volume is 194 Å³/f.u. The formation energy from raw total energies comes out at -2052 meV per atom.

The space group is Pm-3m (No. 221) and the conventional cell measures 5.7879, 5.7879 and 5.7879 Å, with angles of 90.00, 90.00 and 90.00 degrees. Symmetry generates all atoms from La at (0.0000, 0.0000, 0.0000), Nd at (0.0000, 0.5000, 0.5000), S at (0.0000, 0.0000, 0.5000) and S at (0.5000, 0.5000, 0.5000).